Entry 1:
Ca3Ga, relaxed, DFT PBE-GGA; mass density = 2.38 g/cm3; E = -79.94 eV/cell; calculated formation energy = -0.96 eV per formula unit; magnetization = 0.00 μB per formula unit
1.0
-4.629 1.556 -4.144
8.055 -2.140 -9.802
-3.765 -12.296 -0.410
Ca Ga
24 8
Direct
0.977 0.116 0.583
0.977 0.884 0.417
0.481 0.222 0.670
0.773 0.461 0.633
0.981 0.830 0.722
0.477 0.083 0.384
0.019 0.278 0.830
0.227 0.633 0.539
0.981 0.170 0.278
0.019 0.722 0.170
0.023 0.583 0.884
0.773 0.539 0.367
0.727 0.039 0.867
0.727 0.961 0.133
0.273 0.133 0.039
0.523 0.384 0.917
0.477 0.917 0.616
0.481 0.778 0.330
0.227 0.367 0.461
0.519 0.330 0.222
0.273 0.867 0.961
0.023 0.417 0.116
0.523 0.616 0.083
0.519 0.670 0.778
0.277 0.452 0.708
0.223 0.048 0.792
0.223 0.952 0.208
0.777 0.792 0.952
0.777 0.208 0.048
0.723 0.708 0.548
0.723 0.292 0.452
0.277 0.548 0.292

---

Entry 2:
Ca3Ga4, relaxed, DFT PBE-GGA; mass density = 3.88 g/cm3; energy above the most stable polymorph in this dataset = 0.044 eV per atom; E = -42.32 eV/cell; calculated formation energy = -3.05 eV per formula unit; magnetization = 0.00 μB per formula unit
1.0
4.247 0.002 0.000
-2.122 5.616 0.000
0.000 0.000 14.319
Ca Ga
6 8
Direct
0.714 0.427 0.101
0.288 0.578 0.899
0.996 0.991 0.750
0.288 0.577 0.601
0.714 0.427 0.399
0.007 0.013 0.250
0.710 0.422 0.750
0.428 0.856 0.097
0.428 0.855 0.403
0.574 0.149 0.903
0.001 0.003 0.000
0.001 0.003 0.500
0.293 0.582 0.250
0.574 0.149 0.597

---

Entry 3:
Ca2Ga13, relaxed, DFT PBE-GGA; mass density = 4.89 g/cm3; E = -44.71 eV/cell; calculated formation energy = -1.36 eV per formula unit; magnetization = 0.00 μB per formula unit
1.0
6.851 0.000 3.936
2.295 6.456 3.936
0.138 0.097 7.692
Ga Ca
13 2
Direct
0.638 0.239 0.884
0.989 0.334 0.687
0.239 0.239 0.884
0.500 0.500 0.500
0.666 0.011 0.313
0.334 0.989 0.687
0.362 0.761 0.116
0.011 0.666 0.313
0.761 0.362 0.116
0.761 0.761 0.116
0.239 0.638 0.884
0.011 0.011 0.313
0.989 0.989 0.687
0.247 0.247 0.259
0.753 0.753 0.741

---

Entry 4:
Ca11Ga7, relaxed, DFT PBE-GGA; mass density = 2.96 g/cm3; E = -100.44 eV/cell; calculated formation energy = -7.02 eV per formula unit; magnetization = 0.00 μB per formula unit
1.0
-9.277 -6.496 1.091
-4.764 -4.705 -9.199
0.697 -11.235 -1.650
Ga Ca
14 22
Direct
0.309 0.072 0.309
0.691 0.691 0.691
0.780 0.220 0.780
0.072 0.309 0.309
0.780 0.220 0.220
0.309 0.309 0.309
0.928 0.691 0.691
0.691 0.691 0.928
0.220 0.780 0.220
0.220 0.780 0.780
0.309 0.309 0.072
0.220 0.220 0.780
0.780 0.780 0.220
0.691 0.928 0.691
0.130 0.130 0.130
0.870 0.389 0.870
0.835 0.500 0.500
0.500 0.500 0.500
0.165 0.835 0.500
0.835 0.500 0.165
0.000 0.000 0.000
0.165 0.500 0.500
0.500 0.500 0.165
0.870 0.870 0.389
0.870 0.870 0.870
0.500 0.165 0.500
0.500 0.835 0.500
0.165 0.500 0.835
0.500 0.165 0.835
0.500 0.500 0.835
0.130 0.130 0.611
0.130 0.611 0.130
0.611 0.130 0.130
0.389 0.870 0.870
0.500 0.835 0.165
0.835 0.165 0.500

---

Entry 5:
CaGa2, relaxed, DFT PBE-GGA; mass density = 4.47 g/cm3; E = -9.02 eV/cell; calculated formation energy = -0.97 eV per formula unit; magnetization = 0.00 μB per formula unit
1.0
-1.821 1.555 2.484
-2.888 -0.455 -1.832
1.544 -5.499 2.180
Ga Ca
2 1
Direct
0.688 0.688 0.377
0.312 0.312 0.623
0.000 0.000 0.000

---

Entry 6:
CaGa4, relaxed, DFT PBE-GGA; mass density = 5.13 g/cm3; energy above the most stable polymorph in this dataset = 0.000 eV per atom; E = -15.93 eV/cell; calculated formation energy = -1.82 eV per formula unit; magnetization = 0.00 μB per formula unit
1.0
-4.108 4.595 0.917
-5.371 0.129 -3.157
3.389 -4.015 3.351
Ca Ga
1 4
Direct
0.000 0.000 0.000
0.615 0.615 0.000
0.750 0.250 0.500
0.385 0.385 0.000
0.250 0.750 0.500

---

Entry 7:
CaGdGa, relaxed, DFT PBE-GGA; mass density = 4.78 g/cm3; energy above the most stable polymorph in this dataset = 0.081 eV per atom; E = -19.86 eV/cell; calculated formation energy = -0.76 eV per formula unit; magnetization = 7.17 μB per formula unit
1.0
-0.763 -3.964 3.087
1.884 -4.563 -1.209
3.876 -1.934 2.658
Ga Ca Gd
1 1 1
Direct
0.250 0.250 0.250
0.500 0.500 0.500
0.000 0.000 0.000

---

Entry 8:
CaGdGa, relaxed, DFT PBE-GGA; mass density = 5.30 g/cm3; energy above the most stable polymorph in this dataset = 0.131 eV per atom; E = -19.72 eV/cell; calculated formation energy = -0.61 eV per formula unit; magnetization = 7.28 μB per formula unit
1.0
-1.136 -3.492 -0.843
0.829 -1.426 4.788
-4.534 1.802 -1.356
Ca Ga Gd
1 1 1
Direct
0.948 0.000 0.000
0.645 0.667 0.333
0.407 0.333 0.667

---

Entry 9:
Ca2GdGa, relaxed, DFT PBE-GGA; mass density = 3.93 g/cm3; energy above the most stable polymorph in this dataset = 0.188 eV per atom; E = -20.96 eV/cell; calculated formation energy = 0.15 eV per formula unit; magnetization = 7.76 μB per formula unit
1.0
-2.943 1.913 -0.773
-2.290 0.910 2.616
4.170 10.750 2.377
Gd Ca Ga
1 2 1
Direct
0.000 0.000 0.000
0.100 0.100 0.699
0.900 0.900 0.301
0.500 0.500 0.500

---

Entry 10:
Ca2GdGa, relaxed, DFT PBE-GGA; mass density = 4.14 g/cm3; energy above the most stable polymorph in this dataset = 0.000 eV per atom; E = -21.71 eV/cell; calculated formation energy = -0.60 eV per formula unit; magnetization = 7.86 μB per formula unit
1.0
-0.118 -2.605 -2.432
3.541 -0.365 0.219
-1.111 -6.537 7.056
Ca Gd Ga
2 1 1
Direct
0.000 0.000 0.199
0.000 0.000 0.801
0.500 0.500 0.500
0.500 0.500 0.000

---

Entry 11:
CaGdGa, relaxed, DFT PBE-GGA; mass density = 5.14 g/cm3; energy above the most stable polymorph in this dataset = 0.000 eV per atom; E = -20.11 eV/cell; calculated formation energy = -1.00 eV per formula unit; magnetization = 7.32 μB per formula unit
1.0
-0.882 1.958 -2.876
0.939 -2.723 -2.141
-6.286 -2.006 2.802
Ca Gd Ga
1 1 1
Direct
0.311 0.311 0.621
0.584 0.584 0.167
0.956 0.956 0.911

---

Entry 12:
CaGdGaGe, relaxed, DFT PBE-GGA; mass density = 5.90 g/cm3; E = -25.85 eV/cell; calculated formation energy = -2.13 eV per formula unit; magnetization = 7.04 μB per formula unit
1.0
5.133 0.000 0.000
2.566 4.445 0.000
2.566 1.482 4.191
Ga Ca Ge Gd
1 1 1 1
Direct
0.250 0.250 0.250
0.500 0.500 0.500
0.750 0.750 0.750
0.000 0.000 0.000

---

Entry 13:
CaGdGaIr, relaxed, DFT PBE-GGA; mass density = 8.76 g/cm3; E = -29.90 eV/cell; calculated formation energy = -1.93 eV per formula unit; magnetization = 7.13 μB per formula unit
1.0
-4.440 -0.010 -2.243
-2.569 -4.239 -0.411
-4.138 -0.670 2.678
Ga Ir Gd Ca
1 1 1 1
Direct
0.250 0.250 0.250
0.750 0.750 0.750
0.000 0.000 0.000
0.500 0.500 0.500

---

Entry 14:
CaGdMgGa, relaxed, DFT PBE-GGA; mass density = 4.68 g/cm3; E = -21.90 eV/cell; calculated formation energy = -1.20 eV per formula unit; magnetization = 7.22 μB per formula unit
1.0
5.269 0.000 0.000
2.634 4.563 0.000
2.634 1.521 4.302
Mg Ga Ca Gd
1 1 1 1
Direct
0.750 0.750 0.750
0.250 0.250 0.250
0.000 0.000 0.000
0.500 0.500 0.500

---

Entry 15:
NaCaGdGa, relaxed, DFT PBE-GGA; mass density = 4.44 g/cm3; E = -20.99 eV/cell; calculated formation energy = -0.57 eV per formula unit; magnetization = 7.33 μB per formula unit
1.0
-0.768 -5.280 -0.437
0.065 -3.085 4.374
-4.539 -2.201 1.790
Ca Ga Gd Na
1 1 1 1
Direct
0.000 0.000 0.000
0.250 0.250 0.250
0.500 0.500 0.500
0.750 0.750 0.750

---

Entry 16:
CaGdGaNi, relaxed, DFT PBE-GGA; mass density = 6.14 g/cm3; E = -26.10 eV/cell; calculated formation energy = -1.21 eV per formula unit; magnetization = 7.13 μB per formula unit
1.0
-1.661 3.899 -2.642
-4.827 1.269 0.187
-1.392 4.189 2.336
Ni Ca Gd Ga
1 1 1 1
Direct
0.500 0.500 0.500
0.750 0.750 0.750
0.250 0.250 0.250
0.000 0.000 0.000

---

Entry 17:
CaGdGaRh, relaxed, DFT PBE-GGA; mass density = 6.99 g/cm3; E = -28.48 eV/cell; calculated formation energy = -2.02 eV per formula unit; magnetization = 7.20 μB per formula unit
1.0
-3.350 0.781 -3.617
-4.154 -2.760 -0.192
-4.416 2.057 1.089
Rh Ga Ca Gd
1 1 1 1
Direct
0.750 0.750 0.750
0.250 0.250 0.250
0.000 0.000 0.000
0.500 0.500 0.500

---

Entry 18:
CaGdGaSi, relaxed, DFT PBE-GGA; energy relative to the elements, uncorrected = -0.43 eV/atom; mass density = 5.28 g/cm3; E = -26.24 eV/cell; magnetization = 7.00 μB per formula unit
1.0
5.082 0.000 0.000
2.541 4.402 0.000
2.541 1.467 4.150
Ca Ga Gd Si
1 1 1 1
Direct
0.750 0.750 0.750
0.000 0.000 0.000
0.250 0.250 0.250
0.500 0.500 0.500

---

Entry 19:
CaGdGaSn, relaxed, DFT PBE-GGA; mass density = 6.10 g/cm3; E = -25.28 eV/cell; calculated formation energy = -2.17 eV per formula unit; magnetization = 7.01 μB per formula unit
1.0
-3.876 -2.564 -2.538
-2.731 -3.797 2.482
-5.051 0.827 1.355
Gd Ca Ga Sn
1 1 1 1
Direct
0.000 0.000 0.000
0.500 0.500 0.500
0.750 0.750 0.750
0.250 0.250 0.250

---

Entry 20:
CaGdTlGa, relaxed, DFT PBE-GGA; mass density = 7.39 g/cm3; E = -23.18 eV/cell; calculated formation energy = -1.70 eV per formula unit; magnetization = 7.05 μB per formula unit
1.0
5.311 0.000 0.000
2.656 4.599 0.000
2.656 1.533 4.336
Tl Gd Ca Ga
1 1 1 1
Direct
0.750 0.750 0.750
0.500 0.500 0.500
0.000 0.000 0.000
0.250 0.250 0.250